one | K2CdCl | GGA-PBE | optimized geometry

- Crystal system: cubic
- Size of the total moment: 0.4 μB/f.u.
- Mass density: 2.47 g cm⁻³

The structure in extended XYZ format:
```
4
Lattice="0.000 4.234 4.234 4.234 0.000 4.234 4.234 4.234 0.000" Properties=species:S:1:pos:R:3 pbc="T T T"
K 0.000 0.000 0.000
K 2.117 2.117 2.117
Cd 6.351 6.351 6.351
Cl 4.234 4.234 4.234
```

=====

two | K2CdCl | GGA-PBE | optimized geometry

- Crystal system: cubic
- Size of the total moment: 0.0 μB/f.u.
- Mass density: 2.52 g cm⁻³

The structure in extended XYZ format:
```
4
Lattice="0.000 4.209 4.209 4.209 0.000 4.209 4.209 4.209 0.000" Properties=species:S:1:pos:R:3 pbc="T T T"
K 2.104 2.104 2.104
K 6.313 6.313 6.313
Cd 0.000 0.000 0.000
Cl 4.209 4.209 4.209
```

=====

Relative energies, unit meV per atom: one 182; two 0

=====

one | K2CdCl | GGA-PBE | optimized geometry

- Crystal system: tetragonal
- Size of the total moment: 0.0 μB/f.u.
- Mass density: 2.36 g cm⁻³

The structure in extended XYZ format:
```
4
Lattice="-2.378 2.378 7.046 2.378 -2.378 7.046 2.378 2.378 -7.046" Properties=species:S:1:pos:R:3 pbc="T T T"
K 0.000 0.000 0.000
K 0.000 2.378 3.523
Cd 2.378 0.000 3.523
Cl 0.000 0.000 7.046
```

=====

two | K2CdCl | GGA-PBE | optimized geometry

- Crystal system: trigonal
- Size of the total moment: 0.0 μB/f.u.
- Mass density: 2.45 g cm⁻³

The structure in extended XYZ format:
```
4
Lattice="2.142 1.236 9.661 -2.142 1.236 9.661 0.000 -2.473 9.661" Properties=species:S:1:pos:R:3 pbc="T T T"
K 0.000 0.000 0.000
K 0.000 0.000 5.754
Cd 0.000 0.000 12.524
Cl 0.000 0.000 17.370
```

=====

Relative energies, unit meV per atom: one 173; two 0

=====

one | K2CdCl | GGA-PBE | optimized geometry

- Crystal system: orthorhombic
- Size of the total moment: 0.0 μB/f.u.
- Mass density: 2.45 g cm⁻³

The structure in extended XYZ format:
```
4
Lattice="-1.953 2.062 9.518 1.953 -2.062 9.518 1.953 2.062 -9.518" Properties=species:S:1:pos:R:3 pbc="T T T"
K 0.000 0.000 0.000
K 0.000 2.062 3.887
Cd 1.953 0.000 6.317
Cl 0.000 0.000 10.924
```

=====

two | K2CdCl | GGA-PBE | optimized geometry

- Crystal system: orthorhombic
- Size of the total moment: 0.0 μB/f.u.
- Mass density: 2.12 g cm⁻³

The structure in extended XYZ format:
```
4
Lattice="-2.169 3.775 5.414 2.169 -3.775 5.414 2.169 3.775 -5.414" Properties=species:S:1:pos:R:3 pbc="T T T"
K 0.000 0.000 2.100
K 0.000 0.000 8.727
Cd 0.000 3.775 0.000
Cl 2.169 0.000 0.000
```

=====

three | K2CdCl | GGA-PBE | optimized geometry

- Crystal system: tetragonal
- Size of the total moment: 0.0 μB/f.u.
- Mass density: 2.17 g cm⁻³

The structure in extended XYZ format:
```
4
Lattice="4.142 0.000 0.000 0.000 4.142 0.000 0.000 0.000 10.067" Properties=species:S:1:pos:R:3 pbc="T T T"
K 0.000 0.000 0.000
K 2.071 2.071 4.055
Cd 0.000 0.000 6.350
Cl 2.071 2.071 1.013
```

=====

Relative energies, unit meV per atom: one 0; two 116; three 33